[1]
# PBE SrLiEuZn, optimized geometry
data_SrLiEuZn
_chemical_formula_sum 'Sr4 Li4 Eu4 Zn4'
_cell_length_a 7.887
_cell_length_b 7.887
_cell_length_c 7.887
_cell_angle_alpha 90.00
_cell_angle_beta 90.00
_cell_angle_gamma 90.00
_space_group_name_H-M_alt 'F -4 3 m'
_space_group_IT_number 216
_space_group_name_Hall 'F -4 2 3'
loop_
_atom_site_label
_atom_site_type_symbol
_atom_site_fract_x
_atom_site_fract_y
_atom_site_fract_z
Sr1 Sr 0.000 0.000 0.000
Li1 Li 0.250 0.250 0.250
Eu1 Eu 0.000 0.000 0.500
Zn1 Zn 0.250 0.250 0.750
# Formation energy from the elements   -0.073 eV/atom
# Total energy   -61.74 eV/cell
# Magnetic moment   7.44 μB per formula unit
# Theoretical density   4.223 g/cm³

[2]
# PBE LaFeGe, optimized geometry
data_LaFeGe
_chemical_formula_sum 'La1 Fe1 Ge1'
_cell_length_a 4.2237
_cell_length_b 4.2237
_cell_length_c 4.2539
_cell_angle_alpha 90.00
_cell_angle_beta 90.00
_cell_angle_gamma 120.00
_space_group_name_H-M_alt 'P -6 m 2'
_space_group_IT_number 187
_space_group_name_Hall 'P -6 2'
loop_
_atom_site_label
_atom_site_type_symbol
_atom_site_fract_x
_atom_site_fract_y
_atom_site_fract_z
La1 La 0.0000 0.0000 0.0000
Fe1 Fe 0.3333 0.6667 0.5000
Ge1 Ge 0.6667 0.3333 0.5000
# Formation energy from the elements   -0.367 eV/atom
# Total energy   -19.11 eV/cell
# Magnetic moment   2.03 μB per formula unit
# Theoretical density   6.756 g/cm³

[3]
# PBE BaMnRh, optimized geometry
data_BaMnRh
_chemical_formula_sum 'Ba2 Mn2 Rh2'
_cell_length_a 5.481
_cell_length_b 4.272
_cell_length_c 6.564
_cell_angle_alpha 90.00
_cell_angle_beta 92.31
_cell_angle_gamma 90.00
_space_group_name_H-M_alt 'P 1 m 1'
_space_group_IT_number 6
_space_group_name_Hall 'P -2y'
loop_
_atom_site_label
_atom_site_type_symbol
_atom_site_fract_x
_atom_site_fract_y
_atom_site_fract_z
Ba1 Ba 0.000 0.000 0.000
Ba2 Ba 0.486 0.500 0.736
Mn1 Mn 0.452 0.500 0.262
Mn2 Mn 0.958 0.500 0.430
Rh1 Rh 0.218 0.000 0.436
Rh2 Rh 0.697 0.000 0.374
# Formation energy from the elements   0.096 eV/atom
# Total energy   -36.31 eV/cell
# Magnetic moment   3.91 μB per formula unit
# Theoretical density   6.383 g/cm³

[4]
# PBE TbTm2Pt3, optimized geometry
data_TbTm2Pt3
_chemical_formula_sum 'Tb2 Tm4 Pt6'
_cell_length_a 4.922
_cell_length_b 14.789
_cell_length_c 3.438
_cell_angle_alpha 90.00
_cell_angle_beta 90.00
_cell_angle_gamma 90.00
_space_group_name_H-M_alt 'C m m m'
_space_group_IT_number 65
_space_group_name_Hall '-C 2 2'
loop_
_atom_site_label
_atom_site_type_symbol
_atom_site_fract_x
_atom_site_fract_y
_atom_site_fract_z
Tb1 Tb 0.000 0.000 0.000
Tm1 Tm 0.000 0.333 0.000
Pt1 Pt 0.000 0.171 0.500
Pt2 Pt 0.000 0.500 0.500
# Formation energy from the elements   -1.257 eV/atom
# Total energy   -78.47 eV/cell
# Magnetic moment   0.00 μB per formula unit
# Theoretical density   14.358 g/cm³